{"formula": "RbTe2As", "functional": "PBE-GGA", "state": "relaxed", "raw_formation_energy_mev_per_atom": -388, "spacegroup": "R3m, No. 160", "cell": [[4.323, 0.000, 0.000], [-2.162, 3.744, 0.000], [0.000, 0.000, 25.676]], "species": ["Rb", "Rb", "Rb", "Te", "Te", "Te", "Te", "Te", "Te", "As", "As", "As"], "fractional_positions": [[0.000, 0.000, 0.000], [0.333, 0.667, 0.667], [0.667, 0.333, 0.333], [0.000, 0.000, 0.228], [0.000, 0.000, 0.439], [0.333, 0.667, 0.105], [0.333, 0.667, 0.895], [0.667, 0.333, 0.561], [0.667, 0.333, 0.772], [0.000, 0.000, 0.833], [0.333, 0.667, 0.500], [0.667, 0.333, 0.167]]}



{"formula": "Ga12Te5Pb3", "functional": "PBE-GGA", "state": "relaxed", "raw_formation_energy_mev_per_atom": 52, "spacegroup": "Ia-3d, No. 230", "cell": [[-8.564, 8.564, 8.564], [8.564, -8.564, 8.564], [8.564, 8.564, -8.564]], "species": ["Ga", "Ga", "Ga", "Ga", "Ga", "Ga", "Ga", "Ga", "Ga", "Ga", "Ga", "Ga", "Ga", "Ga", "Ga", "Ga", "Ga", "Ga", "Ga", "Ga", "Ga", "Ga", "Ga", "Ga", "Ga", "Ga", "Ga", "Ga", "Ga", "Ga", "Ga", "Ga", "Ga", "Ga", "Ga", "Ga", "Ga", "Ga", "Ga", "Ga", "Ga", "Ga", "Ga", "Ga", "Ga", "Ga", "Ga", "Ga", "Te", "Te", "Te", "Te", "Te", "Te", "Te", "Te", "Te", "Te", "Te", "Te", "Te", "Te", "Te", "Te", "Te", "Te", "Te", "Te", "Pb", "Pb", "Pb", "Pb", "Pb", "Pb", "Pb", "Pb", "Pb", "Pb", "Pb", "Pb"], "fractional_positions": [[0.065, 0.231, 0.149], [0.065, 0.334, 0.916], [0.082, 0.731, 0.666], [0.082, 0.851, 0.416], [0.084, 0.649, 0.418], [0.084, 0.935, 0.666], [0.149, 0.065, 0.231], [0.149, 0.584, 0.918], [0.166, 0.231, 0.582], [0.166, 0.435, 0.584], [0.231, 0.149, 0.065], [0.231, 0.582, 0.166], [0.269, 0.334, 0.918], [0.269, 0.435, 0.351], [0.334, 0.916, 0.065], [0.334, 0.918, 0.269], [0.351, 0.269, 0.435], [0.351, 0.582, 0.916], [0.416, 0.082, 0.851], [0.416, 0.834, 0.565], [0.418, 0.084, 0.649], [0.418, 0.834, 0.769], [0.435, 0.351, 0.269], [0.435, 0.584, 0.166], [0.565, 0.416, 0.834], [0.565, 0.649, 0.731], [0.582, 0.166, 0.231], [0.582, 0.916, 0.351], [0.584, 0.166, 0.435], [0.584, 0.918, 0.149], [0.649, 0.418, 0.084], [0.649, 0.731, 0.565], [0.666, 0.082, 0.731], [0.666, 0.084, 0.935], [0.731, 0.565, 0.649], [0.731, 0.666, 0.082], [0.769, 0.418, 0.834], [0.769, 0.851, 0.935], [0.834, 0.565, 0.416], [0.834, 0.769, 0.418], [0.851, 0.416, 0.082], [0.851, 0.935, 0.769], [0.916, 0.065, 0.334], [0.916, 0.351, 0.582], [0.918, 0.149, 0.584], [0.918, 0.269, 0.334], [0.935, 0.666, 0.084], [0.935, 0.769, 0.851], [0.000, 0.000, 0.000], [0.000, 0.000, 0.500], [0.000, 0.500, 0.000], [0.000, 0.500, 0.500], [0.125, 0.750, 0.875], [0.125, 0.875, 0.250], [0.250, 0.125, 0.875], [0.250, 0.625, 0.375], [0.375, 0.250, 0.625], [0.375, 0.625, 0.750], [0.500, 0.000, 0.000], [0.500, 0.000, 0.500], [0.500, 0.500, 0.000], [0.500, 0.500, 0.500], [0.625, 0.375, 0.250], [0.625, 0.750, 0.375], [0.750, 0.375, 0.625], [0.750, 0.875, 0.125], [0.875, 0.125, 0.750], [0.875, 0.250, 0.125], [0.125, 0.250, 0.375], [0.125, 0.375, 0.750], [0.250, 0.375, 0.125], [0.250, 0.875, 0.625], [0.375, 0.125, 0.250], [0.375, 0.750, 0.125], [0.625, 0.250, 0.875], [0.625, 0.875, 0.750], [0.750, 0.125, 0.375], [0.750, 0.625, 0.875], [0.875, 0.625, 0.250], [0.875, 0.750, 0.625]]}



{"formula": "CaO2F", "functional": "PBE-GGA", "state": "relaxed", "raw_formation_energy_mev_per_atom": -1696, "spacegroup": "I-42d, No. 122", "e_above_lowest_polymorph_mev_per_atom": 360, "cell": [[3.296, 0.000, 0.000], [0.000, 3.296, 0.000], [0.000, 0.000, 18.307]], "species": ["Ca", "Ca", "Ca", "Ca", "O", "O", "O", "O", "O", "O", "O", "O", "F", "F", "F", "F"], "fractional_positions": [[0.000, 0.000, 0.000], [0.000, 0.500, 0.250], [0.500, 0.000, 0.750], [0.500, 0.500, 0.500], [0.089, 0.250, 0.125], [0.250, 0.589, 0.375], [0.250, 0.911, 0.875], [0.411, 0.250, 0.625], [0.589, 0.750, 0.625], [0.750, 0.089, 0.875], [0.750, 0.411, 0.375], [0.911, 0.750, 0.125], [0.000, 0.000, 0.500], [0.000, 0.500, 0.750], [0.500, 0.000, 0.250], [0.500, 0.500, 0.000]]}



{"formula": "Nd2TaMoN5", "functional": "PBE-GGA", "state": "relaxed", "raw_formation_energy_mev_per_atom": -1066, "spacegroup": "Cmc2_1, No. 36", "cell": [[1.679, -6.761, 0.000], [1.679, 6.761, 0.000], [0.000, 0.000, 10.566]], "species": ["Nd", "Nd", "Nd", "Nd", "Ta", "Ta", "Mo", "Mo", "N", "N", "N", "N", "N", "N", "N", "N", "N", "N"], "fractional_positions": [[0.109, 0.891, 0.500], [0.145, 0.855, 0.106], [0.855, 0.145, 0.606], [0.891, 0.109, 0.000], [0.219, 0.781, 0.822], [0.781, 0.219, 0.322], [0.472, 0.528, 0.271], [0.528, 0.472, 0.771], [0.049, 0.951, 0.859], [0.283, 0.717, 0.454], [0.317, 0.683, 0.195], [0.365, 0.635, 0.810], [0.491, 0.509, 0.598], [0.509, 0.491, 0.098], [0.635, 0.365, 0.310], [0.683, 0.317, 0.695], [0.717, 0.283, 0.954], [0.951, 0.049, 0.359]]}



{"formula": "Rb4H2ICl", "functional": "PBE-GGA", "state": "relaxed", "spacegroup": "P2/m, No. 10", "cell": [[8.108, 0.000, 0.000], [0.000, 4.656, 0.000], [-2.691, 0.000, 7.721]], "species": ["Rb", "Rb", "Rb", "Rb", "H", "H", "I", "Cl"], "fractional_positions": [[0.222, 0.000, 0.211], [0.244, 0.500, 0.777], [0.756, 0.500, 0.223], [0.778, 0.000, 0.789], [0.000, 0.500, 0.000], [0.500, 0.000, 0.000], [0.500, 0.500, 0.500], [0.000, 0.000, 0.500]]}



{"formula": "LaCeTh4", "functional": "PBE-GGA", "state": "relaxed", "formation_enthalpy_0k_mev_per_atom": 32, "spacegroup": "P4/mmm, No. 123", "cell": [[3.563, 0.000, 0.000], [0.000, 3.563, 0.000], [0.000, 0.000, 15.087]], "species": ["La", "Ce", "Th", "Th", "Th", "Th"], "fractional_positions": [[0.000, 0.000, 0.000], [0.500, 0.500, 0.500], [0.000, 0.000, 0.341], [0.000, 0.000, 0.659], [0.500, 0.500, 0.178], [0.500, 0.500, 0.822]]}



What did we get for raw total energy? Answer: -3.3634; -3.1054; -5.1430; -9.2709; -2.6496; -6.7248 eV/atom, in the order shown.
What did we get for size of the total moment? Answer: 0.000; 0.000; 1.780; 0.000; 0.051; 0.000 μB/cell, in the order shown.